Material: Sr2Cd12Hg7
Method: DFT, PBE
State: relaxed

## Properties
DFT formation energy ... -0.15 eV per atom
Total DFT energy (no corrections) ... -19.5 eV/f.u.
Fermi-level density of states ... 8.29 states/eV per cell

Geometry as POSCAR:
```
Sr2Cd12Hg7
1.0
-2.8773 -1.1745 3.1396
-7.2753 -4.3107 -8.2801
8.1974 -6.9930 4.8964
Sr Cd Hg
2 12 7
Cartesian
-1.4386 -0.5873 1.5698
-2.1177 -5.2048 -3.8880
-2.9550 -8.9063 -2.9321
-5.9152 -4.2588 -3.9063
-1.7989 -4.2111 -0.1161
3.3417 -7.2717 3.4501
0.6874 -8.2408 0.6549
0.7745 -4.5459 2.1170
4.1178 -4.0617 2.2543
4.1576 -8.7681 0.5301
0.8440 -5.4668 -1.2717
0.1563 -8.3225 -2.9702
-4.9624 -5.5633 -6.6290
-1.5472 -1.7286 -2.0646
3.0398 -6.0989 0.5042
6.1902 -5.9841 3.4344
2.2099 -9.7481 -1.6215
0.7193 -2.5644 -0.3002
-1.6715 -7.0174 -1.0492
-4.9607 -7.0553 -4.0778
-4.0368 -3.3036 -1.8275
```



Material: Sr6Pt2SI3
Method: DFT, PBE
State: relaxed

## Properties
Total DFT energy (no corrections) ... -46.4 eV/f.u.
Fermi-level density of states ... 7.74 states/eV per cell

Geometry as POSCAR:
```
Sr6Pt2SI3
1.0
7.7691 0.0007 -0.0029
-3.8821 6.7296 -0.0029
-1.2993 -2.2498 8.0920
Sr Pt S I
6 2 1 3
Cartesian
3.8875 2.2318 6.5120
2.5861 4.4778 1.5693
-1.2998 2.2488 1.5741
-0.0097 4.4826 6.5120
0.0016 0.0027 6.5169
2.5974 -0.0020 1.5741
0.0000 4.4876 -0.0029
3.8870 2.2427 -0.0029
0.0000 0.0000 0.0000
-2.6241 4.5031 4.0431
5.2118 -0.0225 4.0431
1.2938 2.2403 4.0431
```



Material: Ba2CdPb2
Method: DFT, PBE
State: relaxed

## Properties
DFT formation energy ... -0.28 eV per atom
Total DFT energy (no corrections) ... -13.6 eV/f.u.
Fermi-level density of states ... 5.48 states/eV per cell
Energy above the lowest structure with this stoichiometry ... 232 meV/atom

Geometry as POSCAR:
```
Ba2CdPb2
1.0
10.1147 0.0000 0.0000
0.0000 10.1147 0.0000
0.0000 0.0000 4.0238
Pb Ba Cd
4 4 2
Cartesian
1.0899 6.1472 2.0119
6.1472 9.0248 2.0119
9.0248 3.9674 2.0119
3.9674 1.0899 2.0119
3.1584 8.2157 0.0000
8.2157 6.9563 0.0000
6.9563 1.8989 0.0000
1.8989 3.1584 0.0000
0.0000 0.0000 0.0000
5.0573 5.0573 0.0000
```



Material: CsAs2AuBr
Method: DFT, PBE
State: relaxed

## Properties
Total DFT energy (no corrections) ... -15.2 eV/f.u.
Fermi-level density of states ... 3.99 states/eV per cell

Geometry as POSCAR:
```
CsAs2AuBr
1.0
-0.2418 -4.8406 1.0952
3.6339 0.5741 3.3399
-5.4183 1.5443 5.6298
Cs As Au Br
1 2 1 1
Cartesian
-1.0131 -1.3611 5.0324
1.8170 0.2871 1.6699
-0.1209 -2.4203 0.5476
0.0000 0.0000 0.0000
-2.7091 0.7722 2.8149
```



What did the third record say?
Material: Ba2CdPb2
Method: DFT, PBE
State: relaxed

## Properties
DFT formation energy ... -0.28 eV per atom
Total DFT energy (no corrections) ... -13.6 eV/f.u.
Fermi-level density of states ... 5.48 states/eV per cell
Energy above the lowest structure with this stoichiometry ... 232 meV/atom

Geometry as POSCAR:
```
Ba2CdPb2
1.0
10.1147 0.0000 0.0000
0.0000 10.1147 0.0000
0.0000 0.0000 4.0238
Pb Ba Cd
4 4 2
Cartesian
1.0899 6.1472 2.0119
6.1472 9.0248 2.0119
9.0248 3.9674 2.0119
3.9674 1.0899 2.0119
3.1584 8.2157 0.0000
8.2157 6.9563 0.0000
6.9563 1.8989 0.0000
1.8989 3.1584 0.0000
0.0000 0.0000 0.0000
5.0573 5.0573 0.0000
```